No. 1
AcLaGe4: relaxed, PBE.

Cell and atoms, written as POSCAR:
```
AcLaGe4
1.0
5.861 0.000 0.000
2.930 5.076 0.000
2.930 1.692 4.785
Ac Ge La
1 4 1
Direct
0.000 0.000 0.000
0.621 0.621 0.137
0.621 0.137 0.621
0.621 0.621 0.621
0.137 0.621 0.621
0.250 0.250 0.250
```

crystal system: cubic
formation energy: -39.84 kJ per mole of atoms
DFT total energy: -0.18364 Ha/atom
calculated density: 7.66 g cm⁻³

***

No. 2
LaAl3Ge: relaxed, PBE.

Cell and atoms, written as POSCAR:
```
LaAl3Ge
1.0
-0.158 -0.016 4.971
4.971 -0.004 0.158
0.004 4.973 0.016
Ge Al La
1 3 1
Direct
0.000 0.000 0.000
0.000 0.500 0.000
0.000 0.000 0.500
0.500 0.000 0.000
0.500 0.500 0.500
```

crystal system: cubic
formation energy: 18.62 kJ per mole of atoms
DFT total energy: -0.14558 Ha/atom
calculated density: 3.95 g cm⁻³

***

No. 3
DyTm4Pb5: relaxed, PBE.

Cell and atoms, written as POSCAR:
```
DyTm4Pb5
1.0
-0.135 -3.300 5.297
-0.042 -7.574 -1.041
6.910 -1.708 2.790
Dy Tm Pb
1 4 5
Direct
0.002 0.000 0.000
0.399 0.400 0.802
0.800 0.802 0.600
0.202 0.198 0.400
0.602 0.600 0.198
0.901 0.402 0.797
0.303 0.797 0.598
0.698 0.203 0.402
0.100 0.598 0.203
0.502 0.000 0.000
```

crystal system: tetragonal
formation energy: -26.22 kJ per mole of atoms
DFT total energy: -0.16077 Ha/atom
calculated density: 10.24 g cm⁻³

***

No. 4
AcYAu2: relaxed, PBE.

Cell and atoms, written as POSCAR:
```
AcYAu2
1.0
4.237 0.000 0.000
2.119 3.669 0.000
2.119 1.223 7.669
Ac Y Au
1 1 2
Direct
0.669 0.669 0.994
0.498 0.498 0.506
0.092 0.092 0.724
0.241 0.241 0.276
```

crystal system: trigonal
formation energy: -68.82 kJ per mole of atoms
DFT total energy: -0.18357 Ha/atom
calculated density: 9.89 g cm⁻³

***

No. 5
InCoH3: relaxed, PBE.

Cell and atoms, written as POSCAR:
```
InCoH3
1.0
3.477 0.000 0.000
0.000 3.477 0.000
0.000 0.000 3.477
H Co In
3 1 1
Direct
0.000 0.500 0.000
0.000 0.000 0.500
0.500 0.000 0.000
0.000 0.000 0.000
0.500 0.500 0.500
```

crystal system: cubic
DFT total energy: -0.13698 Ha/atom
calculated density: 6.98 g cm⁻³

***

No. 6
RbH2ClO: relaxed, PBE.

Cell and atoms, written as POSCAR:
```
RbH2ClO
1.0
-4.118 0.562 0.064
1.309 -5.981 1.805
0.397 2.139 6.800
Rb H Cl O
2 4 2 2
Direct
0.377 0.753 0.750
0.623 0.247 0.250
0.063 0.125 0.917
0.937 0.875 0.083
0.063 0.125 0.583
0.937 0.875 0.417
0.663 0.326 0.750
0.337 0.674 0.250
0.000 0.000 0.000
0.000 0.000 0.500
```

crystal system: orthorhombic
DFT total energy: -0.14740 Ha/atom
calculated density: 2.58 g cm⁻³

***

No. 7
CaIn2PbBr6: relaxed, PBE.

Cell and atoms, written as POSCAR:
```
CaIn2PbBr6
1.0
-3.558 6.031 3.907
-7.522 -0.823 2.654
-1.346 -0.700 8.086
Ca In Pb Br
1 2 1 6
Direct
0.819 0.819 0.542
0.526 0.526 0.422
0.028 0.028 0.916
0.318 0.318 0.045
0.601 0.168 0.271
0.167 0.961 0.270
0.961 0.601 0.270
0.477 0.675 0.760
0.675 0.088 0.760
0.088 0.477 0.760
```

crystal system: trigonal
energy relative to the elements, uncorrected: -1.1346 eV per atom
DFT total energy: -0.11969 Ha/atom
calculated density: 4.19 g cm⁻³

***

No. 8
CaAgTe2: relaxed, PBE.

Cell and atoms, written as POSCAR:
```
CaAgTe2
1.0
-0.700 -0.982 6.294
-3.363 -3.457 4.220
2.850 -3.462 0.471
Ca Te Ag
1 2 1
Direct
0.728 0.728 0.850
0.007 0.007 0.884
0.270 0.270 0.336
0.494 0.494 0.429
```

crystal system: monoclinic
energy relative to the elements, uncorrected: -0.6844 eV per atom
DFT total energy: -0.12746 Ha/atom
calculated density: 5.93 g cm⁻³

***

Repeat the second record exactly.
LaAl3Ge: relaxed, PBE.

Cell and atoms, written as POSCAR:
```
LaAl3Ge
1.0
-0.158 -0.016 4.971
4.971 -0.004 0.158
0.004 4.973 0.016
Ge Al La
1 3 1
Direct
0.000 0.000 0.000
0.000 0.500 0.000
0.000 0.000 0.500
0.500 0.000 0.000
0.500 0.500 0.500
```

crystal system: cubic
formation energy: 18.62 kJ per mole of atoms
DFT total energy: -0.14558 Ha/atom
calculated density: 3.95 g cm⁻³